Record 1
A plane-wave DFT calculation with PBE was carried out for a relaxed Al2AgAu crystal.

The structure in POSCAR format:
```
Al2AgAu
1.0
3.5214 0.0000 0.0000
1.7607 3.0496 0.0000
1.7607 1.0165 6.9979
Au Al Ag
1 2 1
Direct
0.6647 0.6647 0.0060
0.0802 0.0802 0.7593
0.2530 0.2530 0.2409
0.5021 0.5021 0.4938
```

---

Record 2
A plane-wave DFT calculation with PBE was carried out for a relaxed Li2PmHg9 crystal.

The structure in POSCAR format:
```
Li2PmHg9
1.0
4.5992 0.0000 0.0000
0.0000 4.5992 0.0000
0.0000 0.0000 13.3370
Li Hg Pm
2 9 1
Direct
0.0000 0.0000 0.6566
0.0000 0.0000 0.3434
0.5000 0.5000 0.3390
0.5000 0.5000 0.0000
0.0000 0.5000 0.5000
0.0000 0.5000 0.1786
0.5000 0.0000 0.1786
0.5000 0.0000 0.5000
0.5000 0.5000 0.6610
0.5000 0.0000 0.8214
0.0000 0.5000 0.8214
0.0000 0.0000 0.0000
```

---

ΔH_f (0 K) readings, ordered: -6; -23 kJ/mol of atoms
Total DFT energy (no corrections) readings, ordered: -13.854; -14.194 eV per formula unit